First-principles (PBE) data for a relaxed TbNdLuSc crystal, as listed in Alexandria via LeMat-Bulk.

Results
DFT formation energy = 0.09 eV/atom
symmetry = No. 216

Lattice parameters (Å, degrees): 5.553 5.553 5.553 60.00 60.00 60.00
Atoms (fractional coordinates):
Sc (0.000, 0.000, 0.000)
Nd (0.750, 0.750, 0.750)
Lu (0.500, 0.500, 0.500)
Tb (0.250, 0.250, 0.250)

First-principles (PBE) data for a relaxed NdLuThSc crystal, as listed in Alexandria via LeMat-Bulk.

Results
DFT formation energy = 0.09 eV/atom
symmetry = No. 216

Lattice parameters (Å, degrees): 5.555 5.555 5.555 60.00 60.00 60.00
Atoms (fractional coordinates):
Sc (0.000, 0.000, 0.000)
Lu (0.500, 0.500, 0.500)
Nd (0.750, 0.750, 0.750)
Th (0.250, 0.250, 0.250)

First-principles (PBE) data for a relaxed NdTmLuSc crystal, as listed in Alexandria via LeMat-Bulk.

Results
DFT formation energy = 0.10 eV/atom
symmetry = No. 216

Lattice parameters (Å, degrees): 5.522 5.522 5.522 60.00 60.00 60.00
Atoms (fractional coordinates):
Sc (0.500, 0.500, 0.500)
Nd (0.250, 0.250, 0.250)
Lu (0.000, 0.000, 0.000)
Tm (0.750, 0.750, 0.750)

First-principles (PBE) data for a relaxed NdYLuSc crystal, as listed in Alexandria via LeMat-Bulk.

Results
DFT formation energy = 0.09 eV/atom
symmetry = No. 216

Lattice parameters (Å, degrees): 5.557 5.557 5.557 60.00 60.00 60.00
Atoms (fractional coordinates):
Y (0.750, 0.750, 0.750)
Sc (0.000, 0.000, 0.000)
Lu (0.500, 0.500, 0.500)
Nd (0.250, 0.250, 0.250)

First-principles (PBE) data for a relaxed NdLuZrSc crystal, as listed in Alexandria via LeMat-Bulk.

Results
DFT formation energy = 0.17 eV/atom
symmetry = No. 216

Lattice parameters (Å, degrees): 5.364 5.364 5.364 60.00 60.00 60.00
Atoms (fractional coordinates):
Sc (0.000, 0.000, 0.000)
Lu (0.500, 0.500, 0.500)
Nd (0.750, 0.750, 0.750)
Zr (0.250, 0.250, 0.250)

First-principles (PBE) data for a relaxed NdLu2Se crystal, as listed in Alexandria via LeMat-Bulk.

Results
formation energy from raw total energies = -0.52 eV/atom
symmetry = No. 166

Lattice parameters (Å, degrees): 3.633 3.633 10.622 80.15 80.15 60.00
Atoms (fractional coordinates):
Lu (0.109, 0.109, 0.673)
Lu (0.891, 0.891, 0.327)
Nd (0.000, 0.000, 0.000)
Se (0.500, 0.500, 0.500)

Uncorrected energy (eV for the cell shown)
-19.888; -22.680; -19.696; -21.713; -23.482; -19.378
Fermi-level density of states (states/eV/atom)
1.40; 1.69; 1.26; 1.37; 1.83; 1.29